No. 1
## Zr2Hg2Pd (GGA-PBE)

Data for a relaxed structure of Zr2Hg2Pd.

abc: 7.2622 7.2622 4.0307
angles: 90.00 90.00 90.00
With the nearest neighbours (Å) after each atom.
Fractional positions:
1 Zr 0.1668 0.6668 0.5000  6 Hg 2.84-3.00
2 Zr 0.6668 0.8332 0.5000  6 Hg 2.84-3.00
3 Zr 0.8332 0.3332 0.5000  6 Hg 2.84-3.00
4 Zr 0.3332 0.1668 0.5000  6 Hg 2.84-3.00
5 Hg 0.3615 0.8615 0.0000  2 Pd 2.81, 6 Zr 2.84-3.00, 1 Hg 2.84
6 Hg 0.8615 0.6385 0.0000  2 Pd 2.81, 6 Zr 2.84-3.00, 1 Hg 2.84
7 Hg 0.6385 0.1385 0.0000  2 Pd 2.81, 6 Zr 2.84-3.00, 1 Hg 2.84
8 Hg 0.1385 0.3615 0.0000  2 Pd 2.81, 6 Zr 2.84-3.00, 1 Hg 2.84
9 Pd 0.0000 0.0000 0.0000  4 Hg 2.81
10 Pd 0.5000 0.5000 0.0000  4 Hg 2.81

Results
Total DFT energy (no corrections), eV/atom: -4.702
Relative energy among the computed polymorphs, kJ/mol of formula units: 0.0
Magnetic moment, μB/f.u.: 0.0
E_form, kcal/mol of atoms: -2.8

---

No. 2
## ZrHg2Pd (GGA-PBE)

Data for a relaxed structure of ZrHg2Pd.

abc: 3.4079 3.4079 6.8196
angles: 90.00 90.00 90.00
With the nearest neighbours (Å) after each atom.
Fractional positions:
1 Zr 0.5000 0.5000 0.5000  8 Hg 3.04
2 Hg 0.0000 0.0000 0.7713  4 Pd 2.87, 4 Zr 3.04, 1 Hg 3.12
3 Hg 0.0000 0.0000 0.2287  4 Pd 2.87, 4 Zr 3.04, 1 Hg 3.12
4 Pd 0.5000 0.5000 0.0000  8 Hg 2.87

Results
Total DFT energy (no corrections), eV/atom: -3.773
Magnetic moment, μB/f.u.: 0.0
E_form, kcal/mol of atoms: -4.3

---

No. 3
## ZrHgPd4 (GGA-PBE)

Data for a relaxed structure of ZrHgPd4.

abc: 4.9647 8.6993 4.9410
angles: 90.00 105.73 90.00
With the nearest neighbours (Å) after each atom.
Fractional positions:
1 Zr 0.0000 0.0000 0.0000  10 Pd 2.86-2.90, 2 Hg 2.99
2 Zr 0.5000 0.5000 0.0000  10 Pd 2.86-2.90, 2 Hg 2.99
3 Hg 0.5000 0.0000 0.5000  10 Pd 2.87-2.91, 2 Zr 2.99
4 Hg 0.0000 0.5000 0.5000  10 Pd 2.87-2.91, 2 Zr 2.99
5 Pd 0.9999 0.6668 0.0000  2 Hg 2.87, 7 Pd 2.87-2.99, 3 Zr 2.88-2.90
6 Pd 0.5001 0.1668 0.0000  2 Hg 2.87, 7 Pd 2.87-2.99, 3 Zr 2.88-2.90
7 Pd 0.5001 0.3344 0.5000  2 Zr 2.86, 7 Pd 2.87-2.99, 3 Hg 2.87-2.91
8 Pd 0.9999 0.8344 0.5000  2 Zr 2.86, 7 Pd 2.87-2.99, 3 Hg 2.87-2.91
9 Pd 0.0001 0.3332 0.0000  2 Hg 2.87, 7 Pd 2.87-2.99, 3 Zr 2.88-2.90
10 Pd 0.4999 0.8332 0.0000  2 Hg 2.87, 7 Pd 2.87-2.99, 3 Zr 2.88-2.90
11 Pd 0.4999 0.6656 0.5000  2 Zr 2.86, 7 Pd 2.87-2.99, 3 Hg 2.87-2.91
12 Pd 0.0001 0.1656 0.5000  2 Zr 2.86, 7 Pd 2.87-2.99, 3 Hg 2.87-2.91

Results
Total DFT energy (no corrections), eV/atom: -5.380
Relative energy among the computed polymorphs, kJ/mol of formula units: 0.0
Magnetic moment, μB/f.u.: 0.0
E_form, kcal/mol of atoms: -10.2

---

No. 4
## ZrHg2Pd9 (GGA-PBE)

Data for a relaxed structure of ZrHg2Pd9.

abc: 4.0233 4.0233 12.3359
angles: 90.00 90.00 90.00
With the nearest neighbours (Å) after each atom.
Fractional positions:
1 Zr 0.0000 0.0000 0.0000  12 Pd 2.83-2.84
2 Hg 0.0000 0.0000 0.3343  12 Pd 2.85-2.93
3 Hg 0.0000 0.0000 0.6657  12 Pd 2.85-2.93
4 Pd 0.5000 0.5000 0.0000  8 Pd 2.83, 4 Zr 2.84
5 Pd 0.5000 0.5000 0.3284  4 Hg 2.85, 8 Pd 2.88-2.92
6 Pd 0.5000 0.5000 0.6716  4 Hg 2.85, 8 Pd 2.88-2.92
7 Pd 0.5000 0.0000 0.1611  8 Pd 2.83-2.88, 2 Zr 2.83, 2 Hg 2.93
8 Pd 0.5000 0.0000 0.5000  8 Pd 2.84-2.92, 4 Hg 2.87
9 Pd 0.5000 0.0000 0.8389  8 Pd 2.83-2.88, 2 Zr 2.83, 2 Hg 2.93
10 Pd 0.0000 0.5000 0.1611  8 Pd 2.83-2.88, 2 Zr 2.83, 2 Hg 2.93
11 Pd 0.0000 0.5000 0.5000  8 Pd 2.84-2.92, 4 Hg 2.87
12 Pd 0.0000 0.5000 0.8389  8 Pd 2.83-2.88, 2 Zr 2.83, 2 Hg 2.93

Results
Total DFT energy (no corrections), eV/atom: -5.019
Magnetic moment, μB/f.u.: 0.0
E_form, kcal/mol of atoms: -8.3

---

No. 5
## Zr3HgPd4 (GGA-PBE)

Data for a relaxed structure of Zr3HgPd4.

abc: 4.9456 6.0865 9.8758
angles: 90.00 90.00 90.00
With the nearest neighbours (Å) after each atom.
Fractional positions:
1 Pd 0.5000 0.7611 0.0000  6 Zr 2.87-2.94, 2 Pd 2.91-3.18, 2 Hg 2.94
2 Pd 0.5000 0.7611 0.5000  6 Zr 2.87-2.94, 2 Pd 2.91-3.18, 2 Hg 2.94
3 Pd 0.5000 0.2389 0.0000  6 Zr 2.87-2.94, 2 Pd 2.91-3.18, 2 Hg 2.94
4 Pd 0.5000 0.2389 0.5000  6 Zr 2.87-2.94, 2 Pd 2.91-3.18, 2 Hg 2.94
5 Pd 0.0194 0.7612 0.7500  6 Zr 2.84-2.94, 2 Pd 2.91-3.18, 2 Hg 2.94
6 Pd 0.9806 0.7612 0.2500  6 Zr 2.84-2.94, 2 Pd 2.91-3.18, 2 Hg 2.94
7 Pd 0.9806 0.2388 0.2500  6 Zr 2.84-2.94, 2 Pd 2.91-3.18, 2 Hg 2.94
8 Pd 0.0194 0.2388 0.7500  6 Zr 2.84-2.94, 2 Pd 2.91-3.18, 2 Hg 2.94
9 Hg 0.0000 0.5000 0.0000  8 Pd 2.94, 2 Zr 3.04
10 Hg 0.0000 0.5000 0.5000  8 Pd 2.94, 2 Zr 3.04
11 Zr 0.0000 0.0000 0.0000  8 Pd 2.87, 2 Hg 3.04
12 Zr 0.0000 0.0000 0.5000  8 Pd 2.87, 2 Hg 3.04
13 Zr 0.5133 0.0000 0.7500  8 Pd 2.84-2.89, 2 Zr 3.04
14 Zr 0.4867 0.0000 0.2500  8 Pd 2.84-2.89, 2 Zr 3.04
15 Zr 0.5204 0.5000 0.7500  8 Pd 2.94, 2 Zr 3.04
16 Zr 0.4796 0.5000 0.2500  8 Pd 2.94, 2 Zr 3.04

Results
Total DFT energy (no corrections), eV/atom: -6.377
Relative energy among the computed polymorphs, kJ/mol of formula units: 0.0
Magnetic moment, μB/f.u.: 0.0
E_form, kcal/mol of atoms: -12.4

---

No. 6
## Zr2HgPd8 (GGA-PBE)

Data for a relaxed structure of Zr2HgPd8.

abc: 4.0583 6.6150 7.5468
angles: 105.93 105.60 90.00
With the nearest neighbours (Å) after each atom.
Fractional positions:
1 Zr 0.7814 0.3336 0.5627  9 Pd 2.69-2.94
2 Zr 0.2186 0.6664 0.4373  9 Pd 2.69-2.94
3 Hg 0.5000 0.0000 0.0000  12 Pd 2.82-2.98
4 Pd 0.4040 0.5432 0.8079  3 Zr 2.79-3.03, 8 Pd 2.86-3.01, 1 Hg 2.95
5 Pd 0.6780 0.9099 0.3560  3 Zr 2.76-2.78, 1 Hg 2.82, 8 Pd 2.85-2.93
6 Pd 0.8531 0.7965 0.7062  3 Zr 2.78-2.94, 6 Pd 2.85-2.93, 2 Hg 2.98
7 Pd 0.9580 0.2784 0.9160  1 Zr 2.69, 8 Pd 2.84-2.93, 2 Hg 2.92
8 Pd 0.1469 0.2035 0.2938  3 Zr 2.78-2.94, 6 Pd 2.85-2.93, 2 Hg 2.98
9 Pd 0.3220 0.0901 0.6440  3 Zr 2.76-2.78, 1 Hg 2.82, 8 Pd 2.85-2.93
10 Pd 0.5960 0.4568 0.1921  3 Zr 2.79-3.03, 8 Pd 2.86-3.01, 1 Hg 2.95
11 Pd 0.0420 0.7216 0.0840  1 Zr 2.69, 8 Pd 2.84-2.93, 2 Hg 2.92

Results
Total DFT energy (no corrections), eV/atom: -5.867
Magnetic moment, μB/f.u.: 0.0
E_form, kcal/mol of atoms: -11.7

---

No. 7
## Zr6Hg3Pd (GGA-PBE)

Data for a relaxed structure of Zr6Hg3Pd.

abc: 7.8076 5.9159 5.9159
angles: 58.03 75.66 75.66
With the nearest neighbours (Å) after each atom.
Fractional positions:
1 Zr 0.3163 0.1052 0.5978  1 Pd 2.77, 3 Zr 2.83-3.04, 3 Hg 2.88-3.03
2 Zr 0.6837 0.4022 0.8948  1 Pd 2.77, 3 Zr 2.83-3.04, 3 Hg 2.88-3.03
3 Zr 0.6837 0.8948 0.4022  1 Pd 2.77, 3 Zr 2.83-3.04, 3 Hg 2.88-3.03
4 Zr 0.3163 0.5978 0.1052  1 Pd 2.77, 3 Zr 2.83-3.04, 3 Hg 2.88-3.03
5 Zr 0.0706 0.6383 0.6383  1 Pd 3.25, 7 Zr 3.31-3.61, 6 Hg 3.32-3.62
6 Zr 0.9294 0.3617 0.3617  1 Pd 3.25, 7 Zr 3.31-3.61, 6 Hg 3.32-3.62
7 Hg 0.3095 0.1101 0.1101  4 Zr 2.88-3.03, 2 Hg 2.95-3.19
8 Hg 0.6905 0.8899 0.8899  4 Zr 2.88-3.03, 2 Hg 2.95-3.19
9 Hg 0.0000 0.0000 0.0000  4 Zr 2.90, 2 Hg 2.95
10 Pd 0.5000 0.5000 0.5000  4 Zr 2.77

Results
Total DFT energy (no corrections), eV/atom: -5.716
Magnetic moment, μB/f.u.: 0.0
E_form, kcal/mol of atoms: 0.5

---

No. 8
## Zr3HgPd (GGA-PBE)

Data for a relaxed structure of Zr3HgPd.

abc: 5.0632 5.0632 5.0632
angles: 90.00 90.00 90.00
With the nearest neighbours (Å) after each atom.
Fractional positions:
1 Zr 0.0000 0.5000 0.0000  2 Pd 2.53
2 Zr 0.0000 0.0000 0.5000  2 Pd 2.53
3 Zr 0.5000 0.0000 0.0000  2 Pd 2.53
4 Hg 0.5000 0.5000 0.5000  12 Zr 3.58
5 Pd 0.0000 0.0000 0.0000  6 Zr 2.53

Results
Total DFT energy (no corrections), eV/atom: -5.853
Relative energy among the computed polymorphs, kJ/mol of formula units: 0.0
Magnetic moment, μB/f.u.: 0.0
E_form, kcal/mol of atoms: 8.6